# KCuNiO2

A geometry-optimized KCuNiO2 structure (PBE with a Hubbard U, Alexandria).

Computed properties:
As for the space group: P2/c, No. 13. As for the calculated volume: 159 Å³ per cell. The calculation puts the size of the total moment at 2.02 μB per formula unit. The value obtained for the total energy is -4.452 eV/atom.

Cell lengths 5.968, 4.731, 5.779 Å; angles 90.00, 103.10, 90.00 degrees
Fractional coordinates of all 10 atoms:
1 K 0.000 0.242 0.250
2 K 0.000 0.758 0.750
3 Cu 0.500 0.500 0.000
4 Cu 0.500 0.500 0.500
5 Ni 0.500 0.039 0.750
6 Ni 0.500 0.961 0.250
7 O 0.312 0.186 0.975
8 O 0.312 0.814 0.475
9 O 0.688 0.186 0.525
10 O 0.688 0.814 0.025